Record 1
# NaBeB14

A relaxed structure of NaBeB14 (GGA-PBE, the Alexandria database).

Unit cell a=5.6585 b=7.2017 c=7.2017 alpha=69.99 beta=66.87 gamma=66.87
With the nearest neighbours (Å) after each atom.
Sites, in units of the cell vectors:
Na 0.2500 0.4022 0.0978  16 B 2.54-2.76
Na 0.7500 0.5978 0.9022  16 B 2.54-2.76
Be 0.5000 0.0000 0.5000  4 B 1.94
Be 0.0000 0.0000 0.5000  4 B 1.94
B 0.6667 0.3681 0.2984  6 B 1.72-1.83
B 0.3333 0.6319 0.7016  6 B 1.72-1.83
B 0.1667 0.7984 0.8681  6 B 1.72-1.83
B 0.8333 0.2016 0.1319  6 B 1.72-1.83
B 0.1615 0.2040 0.4729  4 B 1.79-1.83, 2 Be 1.94
B 0.8385 0.7960 0.5271  4 B 1.79-1.83, 2 Be 1.94
B 0.6615 0.9729 0.7040  4 B 1.79-1.83, 2 Be 1.94
B 0.3385 0.0271 0.2960  4 B 1.79-1.83, 2 Be 1.94
B 0.0919 0.0744 0.7417  6 B 1.77-1.83
B 0.9081 0.9256 0.2583  6 B 1.77-1.83
B 0.5919 0.2417 0.5744  6 B 1.77-1.83
B 0.4081 0.7583 0.4256  6 B 1.77-1.83
B 0.7204 0.6046 0.2792  6 B 1.75-1.84
B 0.6042 0.3954 0.7208  6 B 1.75-1.84
B 0.2204 0.7792 0.1046  6 B 1.75-1.84
B 0.1042 0.2208 0.8954  6 B 1.75-1.84
B 0.2796 0.3954 0.7208  6 B 1.75-1.84
B 0.3958 0.6046 0.2792  6 B 1.75-1.84
B 0.7796 0.2208 0.8954  6 B 1.75-1.84
B 0.8958 0.7792 0.1046  6 B 1.75-1.84
B 0.3343 0.9628 0.8772  6 B 1.77-1.82
B 0.1742 0.0372 0.1228  6 B 1.77-1.82
B 0.8343 0.3772 0.4628  6 B 1.77-1.82
B 0.6742 0.6228 0.5372  6 B 1.77-1.82
B 0.6657 0.0372 0.1228  6 B 1.77-1.82
B 0.8258 0.9628 0.8772  6 B 1.77-1.82
B 0.1657 0.6228 0.5372  6 B 1.77-1.82
B 0.3258 0.3772 0.4628  6 B 1.77-1.82

Calculated values
energy of formation from the pure elements	-0.086	eV per atom
space group	Imma
crystal system	orthorhombic

Record 2
# NaBe3B

A relaxed structure of NaBe3B (GGA-PBE, the Alexandria database).

Unit cell a=3.7792 b=3.7792 c=3.7792 alpha=90.00 beta=90.00 gamma=90.00
With the nearest neighbours (Å) after each atom.
Sites, in units of the cell vectors:
Na 0.5000 0.5000 0.5000  12 Be 2.67
B 0.0000 0.0000 0.0000  6 Be 1.89
Be 0.0000 0.5000 0.0000  2 B 1.89
Be 0.0000 0.0000 0.5000  2 B 1.89
Be 0.5000 0.0000 0.0000  2 B 1.89

Calculated values
relative energy among the computed polymorphs	0.000	eV per atom
energy of formation from the pure elements	0.400	eV per atom
space group	Pm-3m
crystal system	cubic

Record 3
# NaBeB

A relaxed structure of NaBeB (GGA-PBE, the Alexandria database).

Unit cell a=5.4587 b=3.3788 c=9.8863 alpha=90.00 beta=120.54 gamma=90.00
With the nearest neighbours (Å) after each atom.
Sites, in units of the cell vectors:
Na 0.6157 0.0000 0.6711  3 Na 2.72-2.98, 3 Be 2.73-2.84, 5 B 2.79-2.97
Na 0.6157 0.5000 0.1711  3 Na 2.72-2.98, 3 Be 2.73-2.84, 5 B 2.79-2.97
Na 0.7798 0.0000 0.4534  3 Na 2.72-2.98, 5 Be 2.73-3.05, 3 B 2.85-2.90
Na 0.7798 0.5000 0.9534  3 Na 2.72-2.98, 5 Be 2.73-3.05, 3 B 2.85-2.90
B 0.1972 0.0000 0.9505  1 B 1.68
B 0.1972 0.5000 0.4505  1 B 1.68
B 0.2104 0.0000 0.7842  1 B 1.68, 2 Be 1.86
B 0.2104 0.5000 0.2842  1 B 1.68, 2 Be 1.86
Be 0.1772 0.0000 0.3510  4 B 1.86-1.93, 1 Be 2.07
Be 0.1772 0.5000 0.8510  4 B 1.86-1.93, 1 Be 2.07
Be 0.2048 0.0000 0.1502  3 B 1.95-2.14, 1 Be 2.07
Be 0.2048 0.5000 0.6502  3 B 1.95-2.14, 1 Be 2.07

Calculated values
energy of formation from the pure elements	0.263	eV per atom
space group	Cm
crystal system	monoclinic

Question: Which value of energy of formation from the pure elements does entry 3 give?
Answer: 0.263 eV per atom